The following is a GGA-PBE calculation of a relaxed SnP2Rh crystal, from Alexandria.

Summary:
- Total moment: 0.0 μB per cell
- DFT formation energy: 468 meV/atom
- Crystal system: trigonal

Cell and atoms, written as CIF:
```
data_SnP2Rh
_cell_length_a 3.5134
_cell_length_b 3.5134
_cell_length_c 23.5054
_cell_angle_alpha 90.00
_cell_angle_beta 90.00
_cell_angle_gamma 120.00
_space_group_name_H-M_alt 'R -3 m'
_space_group_IT_number 166
_space_group_name_Hall '-R 3 2"'
loop_
_atom_site_label
_atom_site_fract_x
_atom_site_fract_y
_atom_site_fract_z
Sn1 0.0000 0.0000 0.0000
P1 0.0000 0.0000 0.4052
Rh1 0.0000 0.0000 0.5000
```


The following is a GGA-PBE calculation of a relaxed La3CrCl crystal, from Alexandria.

Summary:
- Total moment: 4.4 μB per cell
- ΔE_f (raw): -0.169 eV/atom
- Crystal system: cubic

Cell and atoms, written as CIF:
```
data_La3CrCl
_cell_length_a 5.467
_cell_length_b 5.467
_cell_length_c 5.467
_cell_angle_alpha 90.00
_cell_angle_beta 90.00
_cell_angle_gamma 90.00
_space_group_name_H-M_alt 'P m -3 m'
_space_group_IT_number 221
_space_group_name_Hall '-P 4 2 3'
loop_
_atom_site_label
_atom_site_fract_x
_atom_site_fract_y
_atom_site_fract_z
La1 0.000 0.000 0.500
Cr1 0.500 0.500 0.500
Cl1 0.000 0.000 0.000
```


The following is a GGA-PBE calculation of a relaxed Y2TiHgC crystal, from Alexandria.

Summary:
- Total moment: 0.7 μB per cell
- DFT formation energy: -400 meV/atom
- Crystal system: tetragonal

Cell and atoms, written as CIF:
```
data_Y2TiHgC
_cell_length_a 4.996
_cell_length_b 4.996
_cell_length_c 4.186
_cell_angle_alpha 90.00
_cell_angle_beta 90.00
_cell_angle_gamma 90.00
_space_group_name_H-M_alt 'P 4/m m m'
_space_group_IT_number 123
_space_group_name_Hall '-P 4 2'
loop_
_atom_site_label
_atom_site_fract_x
_atom_site_fract_y
_atom_site_fract_z
Y1 0.000 0.500 0.000
Ti1 0.000 0.000 0.500
Hg1 0.500 0.500 0.500
C1 0.000 0.000 0.000
```


The following is a GGA-PBE calculation of a relaxed Dy6Er2In3 crystal, from Alexandria.

Summary:
- Total moment: 0.0 μB per cell
- DFT formation energy: 27 meV/atom
- Crystal system: tetragonal

Cell and atoms, written as CIF:
```
data_Dy6Er2In3
_cell_length_a 4.520
_cell_length_b 4.520
_cell_length_c 33.297
_cell_angle_alpha 90.00
_cell_angle_beta 90.00
_cell_angle_gamma 90.00
_space_group_name_H-M_alt 'I 4/m m m'
_space_group_IT_number 139
_space_group_name_Hall '-I 4 2'
loop_
_atom_site_label
_atom_site_fract_x
_atom_site_fract_y
_atom_site_fract_z
Dy1 0.000 0.000 0.213
Dy2 0.000 0.500 0.127
Er1 0.000 0.000 0.045
In1 0.000 0.000 0.306
In2 0.000 0.000 0.500
```


The following is a GGA-PBE calculation of a relaxed ScPaZnRh crystal, from Alexandria.

Summary:
- Total moment: 0.0 μB per cell
- DFT formation energy: -359 meV/atom
- Crystal system: cubic

Cell and atoms, written as CIF:
```
data_ScPaZnRh
_cell_length_a 6.824
_cell_length_b 6.824
_cell_length_c 6.824
_cell_angle_alpha 90.00
_cell_angle_beta 90.00
_cell_angle_gamma 90.00
_space_group_name_H-M_alt 'F -4 3 m'
_space_group_IT_number 216
_space_group_name_Hall 'F -4 2 3'
loop_
_atom_site_label
_atom_site_fract_x
_atom_site_fract_y
_atom_site_fract_z
Sc1 0.000 0.000 0.000
Pa1 0.000 0.000 0.500
Zn1 0.250 0.250 0.250
Rh1 0.250 0.250 0.750
```


The following is a GGA-PBE calculation of a relaxed PmH6Pd5 crystal, from Alexandria.

Summary:
- Total moment: 0.0 μB per cell
- Final energy: -4.519 eV per atom
- Crystal system: monoclinic

Cell and atoms, written as CIF:
```
data_PmH6Pd5
_cell_length_a 5.338
_cell_length_b 9.494
_cell_length_c 5.244
_cell_angle_alpha 90.00
_cell_angle_beta 111.33
_cell_angle_gamma 90.00
_space_group_name_H-M_alt 'C 1 2/m 1'
_space_group_IT_number 12
_space_group_name_Hall '-C 2y'
loop_
_atom_site_label
_atom_site_fract_x
_atom_site_fract_y
_atom_site_fract_z
Pm1 0.000 0.000 0.000
H1 0.150 0.500 0.236
H2 0.189 0.220 0.268
Pd1 0.000 0.185 0.500
Pd2 0.000 0.344 0.000
Pd3 0.000 0.500 0.500
```


The following is a GGA-PBE calculation of a relaxed Cr2RuCl crystal, from Alexandria.

Summary:
- Total moment: 18.4 μB per cell
- ΔE_f (raw): 0.320 eV/atom
- Crystal system: trigonal

Cell and atoms, written as CIF:
```
data_Cr2RuCl
_cell_length_a 2.9795
_cell_length_b 2.9795
_cell_length_c 23.6030
_cell_angle_alpha 90.00
_cell_angle_beta 90.00
_cell_angle_gamma 120.00
_space_group_name_H-M_alt 'R -3 m'
_space_group_IT_number 166
_space_group_name_Hall '-R 3 2"'
loop_
_atom_site_label
_atom_site_fract_x
_atom_site_fract_y
_atom_site_fract_z
Cr1 0.0000 0.0000 0.2491
Ru1 0.0000 0.0000 0.5000
Cl1 0.0000 0.0000 0.0000
```


The following is a GGA-PBE calculation of a relaxed Tm2Mg3Ag4 crystal, from Alexandria.

Summary:
- Total moment: 0.0 μB per cell
- DFT formation energy: -205 meV/atom
- Crystal system: orthorhombic

Cell and atoms, written as CIF:
```
data_Tm2Mg3Ag4
_cell_length_a 5.979
_cell_length_b 16.896
_cell_length_c 7.717
_cell_angle_alpha 90.00
_cell_angle_beta 90.00
_cell_angle_gamma 90.00
_space_group_name_H-M_alt 'C m c e'
_space_group_IT_number 64
_space_group_name_Hall '-C 2ac 2'
loop_
_atom_site_label
_atom_site_fract_x
_atom_site_fract_y
_atom_site_fract_z
Tm1 0.000 0.098 0.100
Mg1 0.000 0.000 0.500
Mg2 0.250 0.234 0.750
Ag1 0.000 0.165 0.472
Ag2 0.250 0.067 0.750
```


The following is a GGA-PBE calculation of a relaxed Zr3Pd2 crystal, from Alexandria.

Summary:
- Total moment: 0.0 μB per cell
- DFT formation energy: -323 meV/atom
- Crystal system: orthorhombic

Cell and atoms, written as CIF:
```
data_Zr3Pd2
_cell_length_a 7.560
_cell_length_b 9.717
_cell_length_c 5.596
_cell_angle_alpha 90.00
_cell_angle_beta 90.00
_cell_angle_gamma 90.00
_space_group_name_H-M_alt 'C c c m'
_space_group_IT_number 66
_space_group_name_Hall '-C 2 2c'
loop_
_atom_site_label
_atom_site_fract_x
_atom_site_fract_y
_atom_site_fract_z
Zr1 0.153 0.097 0.000
Zr2 0.250 0.250 0.500
Pd1 0.000 0.367 0.250
```


The following is a GGA-PBE calculation of a relaxed SiP2Rh crystal, from Alexandria.

Summary:
- Total moment: 0.0 μB per cell
- ΔE_f (raw): 0.276 eV/atom
- Crystal system: orthorhombic

Cell and atoms, written as CIF:
```
data_SiP2Rh
_cell_length_a 2.655
_cell_length_b 4.486
_cell_length_c 4.720
_cell_angle_alpha 90.00
_cell_angle_beta 90.00
_cell_angle_gamma 90.00
_space_group_name_H-M_alt 'P m m m'
_space_group_IT_number 47
_space_group_name_Hall '-P 2 2'
loop_
_atom_site_label
_atom_site_fract_x
_atom_site_fract_y
_atom_site_fract_z
Si1 0.000 0.000 0.000
P1 0.000 0.500 0.500
P2 0.500 0.000 0.500
Rh1 0.500 0.500 0.000
```


The following is a GGA-PBE calculation of a relaxed Cs2RuBr4Cl2 crystal, from Alexandria.

Summary:
- Total moment: 4.0 μB per cell
- ΔE_f (raw): -1.078 eV/atom
- Crystal system: tetragonal

Cell and atoms, written as CIF:
```
data_Cs2RuBr4Cl2
_cell_length_a 7.612
_cell_length_b 7.612
_cell_length_c 11.019
_cell_angle_alpha 90.00
_cell_angle_beta 90.00
_cell_angle_gamma 90.00
_space_group_name_H-M_alt 'I 4/m m m'
_space_group_IT_number 139
_space_group_name_Hall '-I 4 2'
loop_
_atom_site_label
_atom_site_fract_x
_atom_site_fract_y
_atom_site_fract_z
Cs1 0.000 0.500 0.250
Ru1 0.000 0.000 0.000
Br1 0.234 0.234 0.000
Cl1 0.000 0.000 0.214
```


The following is a GGA-PBE calculation of a relaxed NbSnRh5 crystal, from Alexandria.

Summary:
- Total moment: 0.0 μB per cell
- DFT formation energy: -350 meV/atom
- Crystal system: tetragonal

Cell and atoms, written as CIF:
```
data_NbSnRh5
_cell_length_a 3.940
_cell_length_b 3.940
_cell_length_c 7.504
_cell_angle_alpha 90.00
_cell_angle_beta 90.00
_cell_angle_gamma 90.00
_space_group_name_H-M_alt 'P 4/m m m'
_space_group_IT_number 123
_space_group_name_Hall '-P 4 2'
loop_
_atom_site_label
_atom_site_fract_x
_atom_site_fract_y
_atom_site_fract_z
Nb1 0.000 0.000 0.000
Sn1 0.500 0.500 0.500
Rh1 0.000 0.500 0.251
Rh2 0.500 0.500 0.000
```


The following is a GGA-PBE calculation of a relaxed PrCd3As3 crystal, from Alexandria.

Summary:
- Total moment: 0.0 μB per cell
- DFT formation energy: -485 meV/atom
- Crystal system: trigonal

Cell and atoms, written as CIF:
```
data_PrCd3As3
_cell_length_a 7.7421
_cell_length_b 7.7421
_cell_length_c 21.4198
_cell_angle_alpha 90.00
_cell_angle_beta 90.00
_cell_angle_gamma 120.00
_space_group_name_H-M_alt 'R -3'
_space_group_IT_number 148
_space_group_name_Hall '-R 3'
loop_
_atom_site_label
_atom_site_fract_x
_atom_site_fract_y
_atom_site_fract_z
Pr1 0.0000 0.0000 0.1664
Cd1 0.0002 0.3357 0.2871
As1 0.0011 0.3317 0.7552
```


The following is a GGA-PBE calculation of a relaxed Er4SiAsS2 crystal, from Alexandria.

Summary:
- Total moment: 0.0 μB per cell
- ΔE_f (raw): -1.604 eV/atom
- Crystal system: tetragonal

Cell and atoms, written as CIF:
```
data_Er4SiAsS2
_cell_length_a 5.633
_cell_length_b 5.633
_cell_length_c 11.285
_cell_angle_alpha 90.00
_cell_angle_beta 90.00
_cell_angle_gamma 90.00
_space_group_name_H-M_alt 'I -4 m 2'
_space_group_IT_number 119
_space_group_name_Hall 'I -4 -2'
loop_
_atom_site_label
_atom_site_fract_x
_atom_site_fract_y
_atom_site_fract_z
Er1 0.000 0.000 0.248
Er2 0.000 0.500 0.001
Si1 0.000 0.000 0.000
As1 0.000 0.500 0.750
S1 0.000 0.000 0.500
S2 0.000 0.500 0.250
```


The following is a GGA-PBE calculation of a relaxed SrVPd2Cl crystal, from Alexandria.

Summary:
- Total moment: 2.6 μB per cell
- ΔE_f (raw): 0.049 eV/atom
- Crystal system: tetragonal

Cell and atoms, written as CIF:
```
data_SrVPd2Cl
_cell_length_a 4.588
_cell_length_b 4.588
_cell_length_c 6.687
_cell_angle_alpha 90.00
_cell_angle_beta 90.00
_cell_angle_gamma 90.00
_space_group_name_H-M_alt 'P 4/m m m'
_space_group_IT_number 123
_space_group_name_Hall '-P 4 2'
loop_
_atom_site_label
_atom_site_fract_x
_atom_site_fract_y
_atom_site_fract_z
Sr1 0.000 0.000 0.000
V1 0.000 0.000 0.500
Pd1 0.000 0.500 0.500
Cl1 0.500 0.500 0.000
```


The following is a GGA-PBE calculation of a relaxed LiTc crystal, from Alexandria.

Summary:
- Total moment: 0.0 μB per cell
- DFT formation energy: 189 meV/atom
- Crystal system: monoclinic

Cell and atoms, written as CIF:
```
data_LiTc
_cell_length_a 2.527
_cell_length_b 4.381
_cell_length_c 5.281
_cell_angle_alpha 90.00
_cell_angle_beta 95.04
_cell_angle_gamma 90.00
_space_group_name_H-M_alt 'P 1 21/m 1'
_space_group_IT_number 11
_space_group_name_Hall '-P 2yb'
loop_
_atom_site_label
_atom_site_fract_x
_atom_site_fract_y
_atom_site_fract_z
Li1 0.082 0.250 0.389
Tc1 0.404 0.750 0.094
```


The following is a GGA-PBE calculation of a relaxed Ca8ZnIn2 crystal, from Alexandria.

Summary:
- Total moment: 0.0 μB per cell
- DFT formation energy: -191 meV/atom
- Crystal system: orthorhombic

Cell and atoms, written as CIF:
```
data_Ca8ZnIn2
_cell_length_a 5.404
_cell_length_b 8.994
_cell_length_c 14.888
_cell_angle_alpha 90.00
_cell_angle_beta 90.00
_cell_angle_gamma 90.00
_space_group_name_H-M_alt 'I m m m'
_space_group_IT_number 71
_space_group_name_Hall '-I 2 2'
loop_
_atom_site_label
_atom_site_fract_x
_atom_site_fract_y
_atom_site_fract_z
Ca1 0.000 0.000 0.136
Ca2 0.000 0.215 0.344
Ca3 0.000 0.321 0.000
Zn1 0.000 0.500 0.500
In1 0.000 0.500 0.198
```


The following is a GGA-PBE calculation of a relaxed La2Al4Zn3Pd crystal, from Alexandria.

Summary:
- Total moment: 0.0 μB per cell
- DFT formation energy: -529 meV/atom
- Crystal system: tetragonal

Cell and atoms, written as CIF:
```
data_La2Al4Zn3Pd
_cell_length_a 4.327
_cell_length_b 4.327
_cell_length_c 10.753
_cell_angle_alpha 90.00
_cell_angle_beta 90.00
_cell_angle_gamma 90.00
_space_group_name_H-M_alt 'P -4 m 2'
_space_group_IT_number 115
_space_group_name_Hall 'P -4 -2'
loop_
_atom_site_label
_atom_site_fract_x
_atom_site_fract_y
_atom_site_fract_z
La1 0.000 0.500 0.249
Al1 0.000 0.000 0.500
Al2 0.000 0.500 0.875
Al3 0.500 0.500 0.500
Zn1 0.000 0.000 0.000
Zn2 0.000 0.500 0.637
Pd1 0.500 0.500 0.000
```


The following is a GGA-PBE calculation of a relaxed Zr3Ta crystal, from Alexandria.

Summary:
- Total moment: 0.0 μB per cell
- DFT formation energy: 134 meV/atom
- Crystal system: orthorhombic

Cell and atoms, written as CIF:
```
data_Zr3Ta
_cell_length_a 5.118
_cell_length_b 6.109
_cell_length_c 5.604
_cell_angle_alpha 90.00
_cell_angle_beta 90.00
_cell_angle_gamma 90.00
_space_group_name_H-M_alt 'P m m n'
_space_group_IT_number 59
loop_
_space_group_symop_operation_xyz
'x,y,z'
'-x,-y,-z'
'-x+1/2,-y+1/2,z'
'x+1/2,y+1/2,-z'
'x+1/2,-y,-z'
'-x+1/2,y,z'
'-x,y+1/2,-z'
'x,-y+1/2,z'
loop_
_atom_site_label
_atom_site_fract_x
_atom_site_fract_y
_atom_site_fract_z
Zr1 0.250 0.002 0.145
Zr2 0.250 0.250 0.625
Ta1 0.250 0.750 0.655
```


The following is a GGA-PBE calculation of a relaxed Er4Tl2Ag3 crystal, from Alexandria.

Summary:
- Total moment: 0.0 μB per cell
- DFT formation energy: -249 meV/atom
- Crystal system: monoclinic

Cell and atoms, written as CIF:
```
data_Er4Tl2Ag3
_cell_length_a 9.883
_cell_length_b 4.915
_cell_length_c 9.249
_cell_angle_alpha 90.00
_cell_angle_beta 102.89
_cell_angle_gamma 90.00
_space_group_name_H-M_alt 'C 1 2/m 1'
_space_group_IT_number 12
_space_group_name_Hall '-C 2y'
loop_
_atom_site_label
_atom_site_fract_x
_atom_site_fract_y
_atom_site_fract_z
Er1 0.055 0.000 0.341
Er2 0.141 0.500 0.896
Tl1 0.223 0.500 0.257
Ag1 0.000 0.000 0.000
Ag2 0.137 0.500 0.569
```